# 1
A plane-wave DFT calculation with PBE-GGA was carried out for an optimized crystal structure of SnHPd2Cl.

Geometry as POSCAR:
```
SnHPd2Cl
1.0
3.958 0.000 0.000
0.000 3.958 0.000
0.000 0.000 5.327
Sn H Pd Cl
1 1 2 1
Direct
0.000 0.000 0.000 Sn
0.500 0.500 0.500 H
0.000 0.500 0.500 Pd
0.500 0.000 0.500 Pd
0.500 0.500 0.000 Cl
```

## Properties
E, eV/atom: -3.92
DOS at the Fermi energy, states/eV per cell: 1.25

---

# 2
A plane-wave DFT calculation with PBE-GGA was carried out for an optimized crystal structure of VHPd2Cl.

Geometry as POSCAR:
```
VHPd2Cl
1.0
4.866 0.000 0.000
0.000 4.866 0.000
0.000 0.000 3.299
V H Pd Cl
1 1 2 1
Direct
0.000 0.000 0.000 V
0.000 0.000 0.500 H
0.000 0.500 0.000 Pd
0.500 0.000 0.000 Pd
0.500 0.500 0.500 Cl
```

## Properties
E, eV/atom: -4.36
DOS at the Fermi energy, states/eV per cell: 5.09

---

# 3
A plane-wave DFT calculation with PBE-GGA was carried out for an optimized crystal structure of Pm2HCl.

Geometry as POSCAR:
```
Pm2HCl
1.0
3.496 0.000 0.000
-1.748 3.028 0.000
0.000 0.000 23.663
Pm H Cl
6 3 3
Direct
0.000 0.000 0.000 Pm
0.000 0.000 0.144 Pm
0.333 0.667 0.667 Pm
0.333 0.667 0.811 Pm
0.667 0.333 0.333 Pm
0.667 0.333 0.478 Pm
0.000 0.000 0.395 H
0.333 0.667 0.062 H
0.667 0.333 0.728 H
0.000 0.000 0.574 Cl
0.333 0.667 0.241 Cl
0.667 0.333 0.907 Cl
```

## Properties
Polymorph energy (0 for the lowest one), eV/atom: 0.1629
E, eV/atom: -4.41
DOS at the Fermi energy, states/eV per cell: 6.09

---

# 4
A plane-wave DFT calculation with PBE-GGA was carried out for an optimized crystal structure of PmHCl4.

Geometry as POSCAR:
```
PmHCl4
1.0
-4.701 4.701 4.065
4.701 -4.701 4.065
4.701 4.701 -4.065
Pm H Cl
2 2 8
Direct
0.000 0.000 0.000 Pm
0.750 0.250 0.500 Pm
0.433 0.933 0.500 H
0.683 0.683 0.000 H
0.023 0.232 0.792 Cl
0.440 0.232 0.208 Cl
0.468 0.133 0.665 Cl
0.468 0.803 0.335 Cl
0.553 0.718 0.835 Cl
0.883 0.718 0.165 Cl
0.982 0.273 0.292 Cl
0.982 0.690 0.708 Cl
```

## Properties
Polymorph energy (0 for the lowest one), eV/atom: 0.0614
E, eV/atom: -4.18
DOS at the Fermi energy, states/eV per cell: 0.00

---

# 5
A plane-wave DFT calculation with PBE-GGA was carried out for an optimized crystal structure of Pm2HCl.

Geometry as POSCAR:
```
Pm2HCl
1.0
3.664 0.000 0.000
-1.832 3.173 0.000
0.000 0.000 21.468
Pm H Cl
6 3 3
Direct
0.000 0.000 0.232 Pm
0.000 0.000 0.768 Pm
0.333 0.667 0.434 Pm
0.333 0.667 0.899 Pm
0.667 0.333 0.101 Pm
0.667 0.333 0.566 Pm
0.000 0.000 0.500 H
0.333 0.667 0.167 H
0.667 0.333 0.833 H
0.000 0.000 0.000 Cl
0.333 0.667 0.667 Cl
0.667 0.333 0.333 Cl
```

## Properties
Polymorph energy (0 for the lowest one), eV/atom: 0.0000
E, eV/atom: -4.58
DOS at the Fermi energy, states/eV per cell: 5.43

---

# 6
A plane-wave DFT calculation with PBE-GGA was carried out for an optimized crystal structure of Pm2HCl5.

Geometry as POSCAR:
```
Pm2HCl5
1.0
1.786 -6.955 0.000
1.786 6.955 0.000
0.000 0.000 19.239
Pm H Cl
4 2 10
Direct
0.229 0.771 0.653 Pm
0.229 0.771 0.847 Pm
0.771 0.229 0.153 Pm
0.771 0.229 0.347 Pm
0.328 0.672 0.250 H
0.672 0.328 0.750 H
0.144 0.856 0.250 Cl
0.169 0.831 0.076 Cl
0.169 0.831 0.424 Cl
0.406 0.594 0.111 Cl
0.406 0.594 0.389 Cl
0.594 0.406 0.611 Cl
0.594 0.406 0.889 Cl
0.831 0.169 0.576 Cl
0.831 0.169 0.924 Cl
0.856 0.144 0.750 Cl
```

## Properties
E, eV/atom: -4.48
DOS at the Fermi energy, states/eV per cell: 0.00

---

# 7
A plane-wave DFT calculation with PBE-GGA was carried out for an optimized crystal structure of PmH2Cl6.

Geometry as POSCAR:
```
PmH2Cl6
1.0
7.415 -6.312 0.000
7.415 6.312 0.000
-0.752 0.000 5.665
Pm H Cl
2 4 12
Direct
0.112 0.888 0.750 Pm
0.888 0.112 0.250 Pm
0.256 0.499 0.825 H
0.499 0.256 0.325 H
0.501 0.744 0.675 H
0.744 0.501 0.175 H
0.040 0.169 0.653 Cl
0.129 0.617 0.858 Cl
0.169 0.040 0.153 Cl
0.372 0.376 0.310 Cl
0.376 0.372 0.810 Cl
0.383 0.871 0.642 Cl
0.617 0.129 0.358 Cl
0.624 0.628 0.190 Cl
0.628 0.624 0.690 Cl
0.831 0.960 0.847 Cl
0.871 0.383 0.142 Cl
0.960 0.831 0.347 Cl
```

## Properties
E, eV/atom: -3.60
DOS at the Fermi energy, states/eV per cell: 3.04

---

# 8
A plane-wave DFT calculation with PBE-GGA was carried out for an optimized crystal structure of PmHCl4.

Geometry as POSCAR:
```
PmHCl4
1.0
5.416 0.000 0.000
0.000 8.491 0.000
-2.102 0.000 7.684
Pm H Cl
2 2 8
Direct
0.035 0.250 0.083 Pm
0.965 0.750 0.917 Pm
0.098 0.250 0.567 H
0.902 0.750 0.433 H
0.065 0.558 0.206 Cl
0.065 0.942 0.206 Cl
0.282 0.250 0.490 Cl
0.444 0.750 0.863 Cl
0.556 0.250 0.137 Cl
0.718 0.750 0.510 Cl
0.935 0.058 0.794 Cl
0.935 0.442 0.794 Cl
```

## Properties
Polymorph energy (0 for the lowest one), eV/atom: 0.0000
E, eV/atom: -4.24
DOS at the Fermi energy, states/eV per cell: 0.00